No. 1
# K2RbOsO6 | the Alexandria database | PBE | optimized geometry
data_K2RbOsO6
_cell_length_a 6.149
_cell_length_b 6.152
_cell_length_c 7.054
_cell_angle_alpha 64.16
_cell_angle_beta 64.22
_cell_angle_gamma 60.05
_space_group_name_H-M_alt 'P 1'
_space_group_IT_number 1
loop_
_space_group_symop_operation_xyz
'x,y,z'
loop_
_atom_site_label
_atom_site_type_symbol
_atom_site_fract_x
_atom_site_fract_y
_atom_site_fract_z
_atom_site_occupancy
K1 K 0.215 0.214 0.357 1
K2 K 0.785 0.786 0.643 1
Rb1 Rb 0.000 0.000 0.000 1
Os1 Os 0.500 0.500 0.500 1
O1 O 0.249 0.722 0.676 1
O2 O 0.278 0.645 0.324 1
O3 O 0.354 0.248 0.677 1
O4 O 0.646 0.752 0.323 1
O5 O 0.722 0.355 0.676 1
O6 O 0.751 0.278 0.324 1
# DOS(E_F): 9.7 states/eV/cell
# Raw formation energy: -1.209 eV per atom
# ρ: 3.74 Mg/m³

***

No. 2
# KRb2OsO6 | the Alexandria database | PBE | optimized geometry
data_KRb2OsO6
_cell_length_a 6.382
_cell_length_b 6.382
_cell_length_c 6.730
_cell_angle_alpha 90.00
_cell_angle_beta 90.00
_cell_angle_gamma 120.00
_space_group_name_H-M_alt 'P 1'
_space_group_IT_number 1
loop_
_space_group_symop_operation_xyz
'x,y,z'
loop_
_atom_site_label
_atom_site_type_symbol
_atom_site_fract_x
_atom_site_fract_y
_atom_site_fract_z
_atom_site_occupancy
K1 K 0.000 0.000 0.000 1
Rb1 Rb 0.333 0.667 0.621 1
Rb2 Rb 0.667 0.333 0.379 1
Os1 Os 0.000 0.000 0.500 1
O1 O 0.138 0.275 0.338 1
O2 O 0.138 0.862 0.338 1
O3 O 0.275 0.138 0.662 1
O4 O 0.725 0.862 0.338 1
O5 O 0.862 0.138 0.662 1
O6 O 0.862 0.725 0.662 1
# DOS(E_F): 8.9 states/eV/cell
# Raw formation energy: -1.179 eV per atom
# ρ: 3.47 Mg/m³

***

No. 3
# KRb3Os2O8 | the Alexandria database | PBE | optimized geometry
data_KRb3Os2O8
_cell_length_a 6.437
_cell_length_b 6.437
_cell_length_c 8.252
_cell_angle_alpha 90.00
_cell_angle_beta 90.00
_cell_angle_gamma 120.00
_space_group_name_H-M_alt 'P 1'
_space_group_IT_number 1
loop_
_space_group_symop_operation_xyz
'x,y,z'
loop_
_atom_site_label
_atom_site_type_symbol
_atom_site_fract_x
_atom_site_fract_y
_atom_site_fract_z
_atom_site_occupancy
K1 K 0.000 0.000 0.000 1
Rb1 Rb 0.000 0.000 0.500 1
Rb2 Rb 0.333 0.667 0.158 1
Rb3 Rb 0.667 0.333 0.842 1
Os1 Os 0.333 0.667 0.704 1
Os2 Os 0.667 0.333 0.296 1
O1 O 0.183 0.366 0.792 1
O2 O 0.183 0.817 0.792 1
O3 O 0.333 0.667 0.488 1
O4 O 0.366 0.183 0.208 1
O5 O 0.634 0.817 0.792 1
O6 O 0.667 0.333 0.512 1
O7 O 0.817 0.183 0.208 1
O8 O 0.817 0.634 0.208 1
# Raw formation energy: -1.357 eV per atom
# ρ: 4.51 Mg/m³

***

No. 4
# K2Rb2OsO4 | the Alexandria database | PBE | optimized geometry
data_K2Rb2OsO4
_cell_length_a 6.261
_cell_length_b 6.261
_cell_length_c 6.261
_cell_angle_alpha 119.45
_cell_angle_beta 119.45
_cell_angle_gamma 90.95
_space_group_name_H-M_alt 'P 1'
_space_group_IT_number 1
loop_
_space_group_symop_operation_xyz
'x,y,z'
loop_
_atom_site_label
_atom_site_type_symbol
_atom_site_fract_x
_atom_site_fract_y
_atom_site_fract_z
_atom_site_occupancy
K1 K 0.152 0.152 0.000 1
K2 K 0.848 0.848 0.000 1
Rb1 Rb 0.250 0.750 0.500 1
Rb2 Rb 0.750 0.250 0.500 1
Os1 Os 0.500 0.500 0.000 1
O1 O 0.284 0.284 0.569 1
O2 O 0.284 0.716 0.000 1
O3 O 0.716 0.284 0.000 1
O4 O 0.716 0.716 0.431 1
# DOS(E_F): 2.0 states/eV/cell
# Raw formation energy: -1.086 eV per atom
# ρ: 4.78 Mg/m³

***

No. 5
# KRb2OsO5 | the Alexandria database | PBE | optimized geometry
data_KRb2OsO5
_cell_length_a 7.503
_cell_length_b 7.503
_cell_length_c 7.503
_cell_angle_alpha 149.97
_cell_angle_beta 130.20
_cell_angle_gamma 59.25
_space_group_name_H-M_alt 'P 1'
_space_group_IT_number 1
loop_
_space_group_symop_operation_xyz
'x,y,z'
loop_
_atom_site_label
_atom_site_type_symbol
_atom_site_fract_x
_atom_site_fract_y
_atom_site_fract_z
_atom_site_occupancy
K1 K 0.000 0.000 0.000 1
Rb1 Rb 0.273 0.773 0.500 1
Rb2 Rb 0.727 0.227 0.500 1
Os1 Os 0.500 0.500 0.000 1
O1 O 0.185 0.397 0.788 1
O2 O 0.391 0.603 0.788 1
O3 O 0.500 0.000 0.500 1
O4 O 0.609 0.397 0.212 1
O5 O 0.815 0.603 0.212 1
# DOS(E_F): 2.2 states/eV/cell
# Raw formation energy: -1.347 eV per atom
# ρ: 4.98 Mg/m³

***

No. 6
# KRb4Os3O12 | the Alexandria database | PBE | optimized geometry
data_KRb4Os3O12
_cell_length_a 7.245
_cell_length_b 7.245
_cell_length_c 7.245
_cell_angle_alpha 109.47
_cell_angle_beta 109.47
_cell_angle_gamma 109.47
_space_group_name_H-M_alt 'P 1'
_space_group_IT_number 1
loop_
_space_group_symop_operation_xyz
'x,y,z'
loop_
_atom_site_label
_atom_site_type_symbol
_atom_site_fract_x
_atom_site_fract_y
_atom_site_fract_z
_atom_site_occupancy
K1 K 0.000 0.000 0.000 1
Rb1 Rb 0.000 0.000 0.500 1
Rb2 Rb 0.000 0.500 0.000 1
Rb3 Rb 0.500 0.000 0.000 1
Rb4 Rb 0.500 0.500 0.500 1
Os1 Os 0.000 0.500 0.500 1
Os2 Os 0.500 0.000 0.500 1
Os3 Os 0.500 0.500 0.000 1
O1 O 0.000 0.287 0.287 1
O2 O 0.000 0.713 0.713 1
O3 O 0.250 0.500 0.750 1
O4 O 0.250 0.750 0.500 1
O5 O 0.287 0.000 0.287 1
O6 O 0.287 0.287 0.000 1
O7 O 0.500 0.250 0.750 1
O8 O 0.500 0.750 0.250 1
O9 O 0.713 0.000 0.713 1
O10 O 0.713 0.713 0.000 1
O11 O 0.750 0.250 0.500 1
O12 O 0.750 0.500 0.250 1
# DOS(E_F): 12.4 states/eV/cell
# Raw formation energy: -1.142 eV per atom
# ρ: 6.49 Mg/m³

***

No. 7
# KReOsO6 | the Alexandria database | PBE | optimized geometry
data_KReOsO6
_cell_length_a 5.362
_cell_length_b 5.362
_cell_length_c 5.817
_cell_angle_alpha 90.00
_cell_angle_beta 90.00
_cell_angle_gamma 120.00
_space_group_name_H-M_alt 'P 1'
_space_group_IT_number 1
loop_
_space_group_symop_operation_xyz
'x,y,z'
loop_
_atom_site_label
_atom_site_type_symbol
_atom_site_fract_x
_atom_site_fract_y
_atom_site_fract_z
_atom_site_occupancy
K1 K 0.000 0.000 0.000 1
Re1 Re 0.333 0.667 0.500 1
Os1 Os 0.667 0.333 0.500 1
O1 O 0.006 0.394 0.679 1
O2 O 0.006 0.612 0.321 1
O3 O 0.388 0.394 0.321 1
O4 O 0.388 0.994 0.679 1
O5 O 0.606 0.612 0.679 1
O6 O 0.606 0.994 0.321 1
# DOS(E_F): 5.3 states/eV/cell
# Raw formation energy: -1.364 eV per atom
# ρ: 5.86 Mg/m³

***

No. 8
# K2ReOsO6 | the Alexandria database | PBE | optimized geometry
data_K2ReOsO6
_cell_length_a 5.562
_cell_length_b 5.562
_cell_length_c 3.951
_cell_angle_alpha 90.00
_cell_angle_beta 90.00
_cell_angle_gamma 90.00
_space_group_name_H-M_alt 'P 1'
_space_group_IT_number 1
loop_
_space_group_symop_operation_xyz
'x,y,z'
loop_
_atom_site_label
_atom_site_type_symbol
_atom_site_fract_x
_atom_site_fract_y
_atom_site_fract_z
_atom_site_occupancy
K1 K 0.000 0.500 0.000 1
K2 K 0.500 0.000 0.000 1
Re1 Re 0.000 0.000 0.500 1
Os1 Os 0.500 0.500 0.500 1
O1 O 0.000 0.000 0.000 1
O2 O 0.246 0.246 0.500 1
O3 O 0.246 0.754 0.500 1
O4 O 0.500 0.500 0.000 1
O5 O 0.754 0.246 0.500 1
O6 O 0.754 0.754 0.500 1
# DOS(E_F): 4.2 states/eV/cell
# Raw formation energy: -1.458 eV per atom
# ρ: 7.48 Mg/m³